(1)
A geometry-optimized SbPtCl2 structure, computed with GGA-PBE.

POSCAR file:
```
SbPtCl2
1.0
4.322 0.000 0.000
0.000 4.322 0.000
0.000 0.000 4.407
Sb Pt Cl
1 1 2
Cartesian
0.000 0.000 0.000 Sb
2.161 2.161 0.000 Pt
0.000 2.161 2.203 Cl
2.161 0.000 2.203 Cl
```

Values from the calculation:
total moment	0.00	μB per formula unit
D(E_F)	3.783	states/eV per cell
symmetry	No. 123
polymorph energy (0 for the lowest one)	930	meV/atom
formation energy from raw total energies	0.41	eV/atom

(2)
A geometry-optimized SbPtCl structure, computed with GGA-PBE.

POSCAR file:
```
SbPtCl
1.0
0.000 3.309 3.309
3.309 0.000 3.309
3.309 3.309 0.000
Sb Pt Cl
1 1 1
Cartesian
0.000 0.000 0.000 Sb
1.654 1.654 1.654 Pt
4.963 4.963 4.963 Cl
```

Values from the calculation:
total moment	0.00	μB per formula unit
D(E_F)	0.949	states/eV per cell
symmetry	No. 216
polymorph energy (0 for the lowest one)	565	meV/atom
formation energy from raw total energies	0.12	eV/atom

(3)
A geometry-optimized SbPtCl2 structure, computed with GGA-PBE.

POSCAR file:
```
SbPtCl2
1.0
4.598 0.000 0.000
0.000 3.162 0.000
-0.015 0.000 5.527
Sb Pt Cl
1 1 2
Cartesian
0.000 0.000 0.000 Sb
-0.008 1.581 2.764 Pt
2.291 0.000 2.764 Cl
2.299 1.581 0.000 Cl
```

Values from the calculation:
total moment	0.00	μB per formula unit
D(E_F)	2.274	states/eV per cell
symmetry	No. 10
polymorph energy (0 for the lowest one)	678	meV/atom
formation energy from raw total energies	0.16	eV/atom

(4)
A geometry-optimized SbPtCl2 structure, computed with GGA-PBE.

POSCAR file:
```
SbPtCl2
1.0
-5.064 5.064 2.530
5.064 -5.064 2.530
5.064 5.064 -2.530
Sb Pt Cl
2 2 4
Cartesian
0.000 0.000 0.000 Sb
0.000 5.064 1.265 Sb
5.064 0.000 1.265 Pt
0.000 0.000 2.530 Pt
2.532 -0.015 1.898 Cl
5.050 2.532 0.633 Cl
2.532 5.079 -0.633 Cl
0.015 2.532 3.163 Cl
```

Values from the calculation:
total moment	0.00	μB per formula unit
D(E_F)	3.108	states/eV per cell
symmetry	No. 122
polymorph energy (0 for the lowest one)	556	meV/atom
formation energy from raw total energies	0.04	eV/atom

(5)
A geometry-optimized SbPtCl structure, computed with GGA-PBE.

POSCAR file:
```
SbPtCl
1.0
0.000 3.264 3.264
3.264 0.000 3.264
3.264 3.264 0.000
Sb Pt Cl
1 1 1
Cartesian
0.000 0.000 0.000 Sb
1.632 1.632 1.632 Pt
3.264 3.264 3.264 Cl
```

Values from the calculation:
total moment	0.00	μB per formula unit
D(E_F)	0.990	states/eV per cell
symmetry	No. 216
polymorph energy (0 for the lowest one)	428	meV/atom
formation energy from raw total energies	-0.02	eV/atom

(6)
A geometry-optimized SbPtCl3 structure, computed with GGA-PBE.

POSCAR file:
```
SbPtCl3
1.0
4.900 0.000 0.000
0.000 4.900 0.000
0.000 0.000 4.900
Sb Pt Cl
1 1 3
Cartesian
0.000 0.000 0.000 Sb
2.450 2.450 2.450 Pt
0.000 2.450 2.450 Cl
2.450 0.000 2.450 Cl
2.450 2.450 0.000 Cl
```

Values from the calculation:
total moment	0.00	μB per formula unit
D(E_F)	3.631	states/eV per cell
symmetry	No. 221
polymorph energy (0 for the lowest one)	0	meV/atom
formation energy from raw total energies	0.13	eV/atom

(7)
A geometry-optimized SiSbPtCl2 structure, computed with GGA-PBE.

POSCAR file:
```
SiSbPtCl2
1.0
4.981 0.000 0.000
0.000 4.981 0.000
0.000 0.000 5.786
Si Sb Pt Cl
1 1 1 2
Cartesian
0.000 0.000 0.000 Si
0.000 0.000 2.893 Sb
2.490 2.490 0.000 Pt
0.000 2.490 2.893 Cl
2.490 0.000 2.893 Cl
```

Values from the calculation:
total moment	0.45	μB per formula unit
D(E_F)	3.655	states/eV per cell
symmetry	No. 123
formation energy from raw total energies	0.81	eV/atom

(8)
A geometry-optimized Sb2TePtCl structure, computed with GGA-PBE.

POSCAR file:
```
Sb2TePtCl
1.0
5.164 0.000 0.000
0.000 5.164 0.000
0.000 0.000 5.347
Sb Te Pt Cl
2 1 1 1
Cartesian
0.000 2.582 0.000 Sb
2.582 0.000 0.000 Sb
0.000 0.000 2.674 Te
2.582 2.582 2.674 Pt
0.000 0.000 0.000 Cl
```

Values from the calculation:
total moment	0.00	μB per formula unit
D(E_F)	5.304	states/eV per cell
symmetry	No. 123
polymorph energy (0 for the lowest one)	822	meV/atom
formation energy from raw total energies	1.14	eV/atom

Please write out number 7 again, unchanged.
A geometry-optimized SiSbPtCl2 structure, computed with GGA-PBE.

POSCAR file:
```
SiSbPtCl2
1.0
4.981 0.000 0.000
0.000 4.981 0.000
0.000 0.000 5.786
Si Sb Pt Cl
1 1 1 2
Cartesian
0.000 0.000 0.000 Si
0.000 0.000 2.893 Sb
2.490 2.490 0.000 Pt
0.000 2.490 2.893 Cl
2.490 0.000 2.893 Cl
```

Values from the calculation:
total moment	0.45	μB per formula unit
D(E_F)	3.655	states/eV per cell
symmetry	No. 123
formation energy from raw total energies	0.81	eV/atom